# SrP2RuCl (PBE-GGA, optimized geometry)
data_SrP2RuCl
_chemical_formula_sum 'Sr1 P2 Ru1 Cl1'
_symmetry_space_group_name_H-M 'P 4/m m m'
_symmetry_Int_Tables_number 123
_symmetry_space_group_name_Hall '-P 4 2'
_cell_length_a 4.534
_cell_length_b 4.534
_cell_length_c 5.504
_cell_angle_alpha 90.00
_cell_angle_beta 90.00
_cell_angle_gamma 90.00
loop_
_atom_site_label
_atom_site_type_symbol
_atom_site_fract_x
_atom_site_fract_y
_atom_site_fract_z
Sr1 Sr 0.000 0.000 0.000
P1 P 0.000 0.500 0.500
Ru1 Ru 0.500 0.500 0.500
Cl1 Cl 0.500 0.500 0.000
# * total moment: 0.00 μB per atom
# * energy relative to the lowest polymorph listed for this composition: 0 meV/atom
# * formation energy from raw total energies: -47.4 kJ per mole of atoms


# SrP2RuCl (PBE-GGA, optimized geometry)
data_SrP2RuCl
_chemical_formula_sum 'Sr1 P2 Ru1 Cl1'
_symmetry_space_group_name_H-M 'P 4/m m m'
_symmetry_Int_Tables_number 123
_symmetry_space_group_name_Hall '-P 4 2'
_cell_length_a 5.604
_cell_length_b 5.604
_cell_length_c 5.284
_cell_angle_alpha 90.00
_cell_angle_beta 90.00
_cell_angle_gamma 90.00
loop_
_atom_site_label
_atom_site_type_symbol
_atom_site_fract_x
_atom_site_fract_y
_atom_site_fract_z
Sr1 Sr 0.000 0.000 0.000
P1 P 0.000 0.500 0.000
Ru1 Ru 0.500 0.500 0.500
Cl1 Cl 0.000 0.000 0.500
# * total moment: 0.44 μB per atom
# * energy relative to the lowest polymorph listed for this composition: 1853 meV/atom
# * formation energy from raw total energies: 131.3 kJ per mole of atoms


# SrPRuCl2 (PBE-GGA, optimized geometry)
data_SrPRuCl2
_chemical_formula_sum 'Sr1 P1 Ru1 Cl2'
_symmetry_space_group_name_H-M 'P 4/m m m'
_symmetry_Int_Tables_number 123
_symmetry_space_group_name_Hall '-P 4 2'
_cell_length_a 5.046
_cell_length_b 5.046
_cell_length_c 4.508
_cell_angle_alpha 90.00
_cell_angle_beta 90.00
_cell_angle_gamma 90.00
loop_
_atom_site_label
_atom_site_type_symbol
_atom_site_fract_x
_atom_site_fract_y
_atom_site_fract_z
Sr1 Sr 0.000 0.000 0.000
P1 P 0.500 0.500 0.000
Ru1 Ru 0.500 0.500 0.500
Cl1 Cl 0.000 0.500 0.500
# * total moment: 0.00 μB per atom
# * energy relative to the lowest polymorph listed for this composition: 0 meV/atom
# * formation energy from raw total energies: -70.1 kJ per mole of atoms


# TaPRuCl2 (PBE-GGA, optimized geometry)
data_TaPRuCl2
_chemical_formula_sum 'Ta1 P1 Ru1 Cl2'
_symmetry_space_group_name_H-M 'P 4/m m m'
_symmetry_Int_Tables_number 123
_symmetry_space_group_name_Hall '-P 4 2'
_cell_length_a 4.697
_cell_length_b 4.697
_cell_length_c 4.598
_cell_angle_alpha 90.00
_cell_angle_beta 90.00
_cell_angle_gamma 90.00
loop_
_atom_site_label
_atom_site_type_symbol
_atom_site_fract_x
_atom_site_fract_y
_atom_site_fract_z
Ta1 Ta 0.000 0.000 0.000
P1 P 0.500 0.500 0.000
Ru1 Ru 0.500 0.500 0.500
Cl1 Cl 0.000 0.500 0.500
# * total moment: 0.54 μB per atom
# * energy relative to the lowest polymorph listed for this composition: 328 meV/atom
# * formation energy from raw total energies: 92.9 kJ per mole of atoms


# TaPRuCl2 (PBE-GGA, optimized geometry)
data_TaPRuCl2
_chemical_formula_sum 'Ta1 P1 Ru1 Cl2'
_symmetry_space_group_name_H-M 'P 4/m m m'
_symmetry_Int_Tables_number 123
_symmetry_space_group_name_Hall '-P 4 2'
_cell_length_a 4.742
_cell_length_b 4.742
_cell_length_c 4.989
_cell_angle_alpha 90.00
_cell_angle_beta 90.00
_cell_angle_gamma 90.00
loop_
_atom_site_label
_atom_site_type_symbol
_atom_site_fract_x
_atom_site_fract_y
_atom_site_fract_z
Ta1 Ta 0.000 0.000 0.000
P1 P 0.000 0.000 0.500
Ru1 Ru 0.500 0.500 0.500
Cl1 Cl 0.000 0.500 0.000
# * total moment: 0.59 μB per atom
# * energy relative to the lowest polymorph listed for this composition: 0 meV/atom
# * formation energy from raw total energies: 61.2 kJ per mole of atoms


# TcPRuCl2 (PBE-GGA, optimized geometry)
data_TcPRuCl2
_chemical_formula_sum 'Tc1 P1 Ru1 Cl2'
_symmetry_space_group_name_H-M 'P 4/m m m'
_symmetry_Int_Tables_number 123
_symmetry_space_group_name_Hall '-P 4 2'
_cell_length_a 4.876
_cell_length_b 4.876
_cell_length_c 4.557
_cell_angle_alpha 90.00
_cell_angle_beta 90.00
_cell_angle_gamma 90.00
loop_
_atom_site_label
_atom_site_type_symbol
_atom_site_fract_x
_atom_site_fract_y
_atom_site_fract_z
Tc1 Tc 0.000 0.000 0.000
P1 P 0.000 0.000 0.500
Ru1 Ru 0.500 0.500 0.500
Cl1 Cl 0.000 0.500 0.000
# * total moment: 0.82 μB per atom
# * energy relative to the lowest polymorph listed for this composition: 89 meV/atom
# * formation energy from raw total energies: 91.0 kJ per mole of atoms


# TcPRuCl2 (PBE-GGA, optimized geometry)
data_TcPRuCl2
_chemical_formula_sum 'Tc1 P1 Ru1 Cl2'
_symmetry_space_group_name_H-M 'P 4/m m m'
_symmetry_Int_Tables_number 123
_symmetry_space_group_name_Hall '-P 4 2'
_cell_length_a 4.877
_cell_length_b 4.877
_cell_length_c 4.508
_cell_angle_alpha 90.00
_cell_angle_beta 90.00
_cell_angle_gamma 90.00
loop_
_atom_site_label
_atom_site_type_symbol
_atom_site_fract_x
_atom_site_fract_y
_atom_site_fract_z
Tc1 Tc 0.000 0.000 0.000
P1 P 0.500 0.500 0.000
Ru1 Ru 0.500 0.500 0.500
Cl1 Cl 0.000 0.500 0.500
# * total moment: 0.89 μB per atom
# * energy relative to the lowest polymorph listed for this composition: 0 meV/atom
# * formation energy from raw total energies: 82.4 kJ per mole of atoms


# TcP2RuCl (PBE-GGA, optimized geometry)
data_TcP2RuCl
_chemical_formula_sum 'Tc1 P2 Ru1 Cl1'
_symmetry_space_group_name_H-M 'P 4/m m m'
_symmetry_Int_Tables_number 123
_symmetry_space_group_name_Hall '-P 4 2'
_cell_length_a 4.537
_cell_length_b 4.537
_cell_length_c 4.912
_cell_angle_alpha 90.00
_cell_angle_beta 90.00
_cell_angle_gamma 90.00
loop_
_atom_site_label
_atom_site_type_symbol
_atom_site_fract_x
_atom_site_fract_y
_atom_site_fract_z
Tc1 Tc 0.000 0.000 0.000
P1 P 0.000 0.500 0.000
Ru1 Ru 0.500 0.500 0.500
Cl1 Cl 0.000 0.000 0.500
# * total moment: 0.49 μB per atom
# * energy relative to the lowest polymorph listed for this composition: 24 meV/atom
# * formation energy from raw total energies: 95.4 kJ per mole of atoms


# TcP2RuCl (PBE-GGA, optimized geometry)
data_TcP2RuCl
_chemical_formula_sum 'Tc1 P2 Ru1 Cl1'
_symmetry_space_group_name_H-M 'P 4/m m m'
_symmetry_Int_Tables_number 123
_symmetry_space_group_name_Hall '-P 4 2'
_cell_length_a 4.533
_cell_length_b 4.533
_cell_length_c 4.912
_cell_angle_alpha 90.00
_cell_angle_beta 90.00
_cell_angle_gamma 90.00
loop_
_atom_site_label
_atom_site_type_symbol
_atom_site_fract_x
_atom_site_fract_y
_atom_site_fract_z
Tc1 Tc 0.000 0.000 0.000
P1 P 0.000 0.500 0.500
Ru1 Ru 0.500 0.500 0.500
Cl1 Cl 0.500 0.500 0.000
# * total moment: 0.73 μB per atom
# * energy relative to the lowest polymorph listed for this composition: 0 meV/atom
# * formation energy from raw total energies: 93.1 kJ per mole of atoms


# TePRuCl2 (PBE-GGA, optimized geometry)
data_TePRuCl2
_chemical_formula_sum 'Te1 P1 Ru1 Cl2'
_symmetry_space_group_name_H-M 'P 4/m m m'
_symmetry_Int_Tables_number 123
_symmetry_space_group_name_Hall '-P 4 2'
_cell_length_a 5.355
_cell_length_b 5.355
_cell_length_c 5.036
_cell_angle_alpha 90.00
_cell_angle_beta 90.00
_cell_angle_gamma 90.00
loop_
_atom_site_label
_atom_site_type_symbol
_atom_site_fract_x
_atom_site_fract_y
_atom_site_fract_z
Te1 Te 0.000 0.000 0.000
P1 P 0.000 0.000 0.500
Ru1 Ru 0.500 0.500 0.500
Cl1 Cl 0.000 0.500 0.000
# * total moment: 0.67 μB per atom
# * energy relative to the lowest polymorph listed for this composition: 903 meV/atom
# * formation energy from raw total energies: 114.9 kJ per mole of atoms


# TePRuCl2 (PBE-GGA, optimized geometry)
data_TePRuCl2
_chemical_formula_sum 'Te1 P1 Ru1 Cl2'
_symmetry_space_group_name_H-M 'P 4/m m m'
_symmetry_Int_Tables_number 123
_symmetry_space_group_name_Hall '-P 4 2'
_cell_length_a 4.753
_cell_length_b 4.753
_cell_length_c 4.703
_cell_angle_alpha 90.00
_cell_angle_beta 90.00
_cell_angle_gamma 90.00
loop_
_atom_site_label
_atom_site_type_symbol
_atom_site_fract_x
_atom_site_fract_y
_atom_site_fract_z
Te1 Te 0.000 0.000 0.000
P1 P 0.500 0.500 0.000
Ru1 Ru 0.500 0.500 0.500
Cl1 Cl 0.000 0.500 0.500
# * total moment: 0.00 μB per atom
# * energy relative to the lowest polymorph listed for this composition: 0 meV/atom
# * formation energy from raw total energies: 27.8 kJ per mole of atoms


# TiPRuCl2 (PBE-GGA, optimized geometry)
data_TiPRuCl2
_chemical_formula_sum 'Ti1 P1 Ru1 Cl2'
_symmetry_space_group_name_H-M 'P 4/m m m'
_symmetry_Int_Tables_number 123
_symmetry_space_group_name_Hall '-P 4 2'
_cell_length_a 4.584
_cell_length_b 4.584
_cell_length_c 5.087
_cell_angle_alpha 90.00
_cell_angle_beta 90.00
_cell_angle_gamma 90.00
loop_
_atom_site_label
_atom_site_type_symbol
_atom_site_fract_x
_atom_site_fract_y
_atom_site_fract_z
Ti1 Ti 0.000 0.000 0.000
P1 P 0.000 0.000 0.500
Ru1 Ru 0.500 0.500 0.500
Cl1 Cl 0.000 0.500 0.000
# * total moment: 0.69 μB per atom
# * energy relative to the lowest polymorph listed for this composition: 0 meV/atom
# * formation energy from raw total energies: 29.9 kJ per mole of atoms


# TiPRuCl2 (PBE-GGA, optimized geometry)
data_TiPRuCl2
_chemical_formula_sum 'Ti1 P1 Ru1 Cl2'
_symmetry_space_group_name_H-M 'P 4/m m m'
_symmetry_Int_Tables_number 123
_symmetry_space_group_name_Hall '-P 4 2'
_cell_length_a 4.790
_cell_length_b 4.790
_cell_length_c 4.548
_cell_angle_alpha 90.00
_cell_angle_beta 90.00
_cell_angle_gamma 90.00
loop_
_atom_site_label
_atom_site_type_symbol
_atom_site_fract_x
_atom_site_fract_y
_atom_site_fract_z
Ti1 Ti 0.000 0.000 0.000
P1 P 0.500 0.500 0.000
Ru1 Ru 0.500 0.500 0.500
Cl1 Cl 0.000 0.500 0.500
# * total moment: 0.05 μB per atom
# * energy relative to the lowest polymorph listed for this composition: 134 meV/atom
# * formation energy from raw total energies: 42.8 kJ per mole of atoms


# TlP2RuCl (PBE-GGA, optimized geometry)
data_TlP2RuCl
_chemical_formula_sum 'Tl1 P2 Ru1 Cl1'
_symmetry_space_group_name_H-M 'P 4/m m m'
_symmetry_Int_Tables_number 123
_symmetry_space_group_name_Hall '-P 4 2'
_cell_length_a 4.529
_cell_length_b 4.529
_cell_length_c 5.638
_cell_angle_alpha 90.00
_cell_angle_beta 90.00
_cell_angle_gamma 90.00
loop_
_atom_site_label
_atom_site_type_symbol
_atom_site_fract_x
_atom_site_fract_y
_atom_site_fract_z
Tl1 Tl 0.000 0.000 0.000
P1 P 0.000 0.500 0.500
Ru1 Ru 0.500 0.500 0.500
Cl1 Cl 0.500 0.500 0.000
# * total moment: 0.00 μB per atom
# * energy relative to the lowest polymorph listed for this composition: 0 meV/atom
# * formation energy from raw total energies: 10.1 kJ per mole of atoms